Material: SrAcS2O6
Method: DFT, PBE
State: relaxed

Lattice parameters (Å, degrees): 7.743 7.743 7.743 39.17 39.17 39.17
Fractional coordinates of all 10 atoms:
Sr: 0.000 0.000 0.000
Ac: 0.500 0.500 0.500
S: 0.229 0.229 0.229
S: 0.771 0.771 0.771
O: 0.032 0.490 0.701
O: 0.299 0.968 0.510
O: 0.490 0.701 0.032
O: 0.510 0.299 0.968
O: 0.701 0.032 0.490
O: 0.968 0.510 0.299

## Properties
* uncorrected formation energy: -1.954 eV/atom
* total magnetization: 1.028 μB per cell
* theoretical density: 4.7 g cm⁻³

Material: NdSmMgBi
Method: DFT, PBE
State: relaxed

Lattice parameters (Å, degrees): 5.525 5.525 5.525 60.00 60.00 60.00
Fractional coordinates of all 4 atoms:
Nd: 0.000 0.000 0.000
Sm: 0.500 0.500 0.500
Mg: 0.250 0.250 0.250
Bi: 0.750 0.750 0.750

## Properties
* total magnetization: 0.000 μB per cell
* theoretical density: 7.4 g cm⁻³
* energy of formation: -0.359 eV/atom

Material: BaGaSeN2
Method: DFT, PBE
State: relaxed

Lattice parameters (Å, degrees): 5.236 5.236 6.485 90.00 90.00 90.00
Fractional coordinates of all 5 atoms:
Ba: 0.000 0.000 0.000
Ga: 0.500 0.500 0.500
Se: 0.000 0.000 0.500
N: 0.000 0.500 0.000
N: 0.500 0.000 0.000

## Properties
* excess energy over the best structure of this formula in the dataset: 22.47 kcal/mol of atoms
* uncorrected formation energy: 1.325 eV/atom
* total magnetization: 5.013 μB per cell
* theoretical density: 2.9 g cm⁻³

Material: Ho2ErF11
Method: DFT, PBE
State: relaxed

Lattice parameters (Å, degrees): 8.563 8.563 8.563 121.95 107.28 100.01
Fractional coordinates of all 28 atoms:
Ho: 0.190 0.160 0.349
Ho: 0.310 0.660 0.970
Ho: 0.690 0.340 0.030
Ho: 0.810 0.840 0.651
Er: 0.250 0.750 0.500
Er: 0.750 0.250 0.500
F: 0.000 0.000 0.000
F: 0.026 0.458 0.772
F: 0.059 0.839 0.630
F: 0.186 0.958 0.431
F: 0.194 0.891 0.085
F: 0.210 0.429 0.370
F: 0.290 0.661 0.219
F: 0.306 0.391 0.696
F: 0.314 0.745 0.772
F: 0.441 0.071 0.781
F: 0.474 0.245 0.431
F: 0.500 0.500 0.000
F: 0.526 0.755 0.569
F: 0.559 0.929 0.219
F: 0.686 0.255 0.228
F: 0.694 0.609 0.304
F: 0.710 0.339 0.781
F: 0.790 0.571 0.630
F: 0.806 0.109 0.915
F: 0.814 0.042 0.569
F: 0.941 0.161 0.370
F: 0.974 0.542 0.228

## Properties
* uncorrected formation energy: -3.467 eV/atom
* total magnetization: 4.206 μB per cell
* theoretical density: 5.1 g cm⁻³

Material: Sr5TbSb4
Method: DFT, PBE
State: relaxed

Lattice parameters (Å, degrees): 10.812 10.812 10.812 154.16 132.31 55.03
Fractional coordinates of all 10 atoms:
Sr: 0.000 0.000 0.000
Sr: 0.087 0.333 0.754
Sr: 0.421 0.667 0.754
Sr: 0.579 0.333 0.246
Sr: 0.913 0.667 0.246
Tb: 0.500 0.000 0.500
Sb: 0.262 0.500 0.762
Sb: 0.308 0.808 0.500
Sb: 0.692 0.192 0.500
Sb: 0.738 0.500 0.238

## Properties
* uncorrected formation energy: -0.877 eV/atom
* total magnetization: 1.035 μB per cell
* theoretical density: 4.4 g cm⁻³

Material: LiNi2Ru
Method: DFT, PBE
State: relaxed

Lattice parameters (Å, degrees): 2.611 4.244 4.290 90.00 90.00 90.00
Fractional coordinates of all 4 atoms:
Li: 0.000 0.000 0.000
Ni: 0.000 0.500 0.500
Ni: 0.500 0.000 0.500
Ru: 0.500 0.500 0.000

## Properties
* excess energy over the best structure of this formula in the dataset: 4.39 kcal/mol of atoms
* total magnetization: 1.760 μB per cell
* theoretical density: 7.9 g cm⁻³
* energy of formation: 0.224 eV/atom

Material: ZrBeCl2
Method: DFT, PBE
State: relaxed

Lattice parameters (Å, degrees): 3.177 3.177 8.106 90.00 90.00 90.00
Fractional coordinates of all 4 atoms:
Zr: 0.000 0.000 0.000
Be: 0.500 0.500 0.198
Cl: 0.000 0.000 0.341
Cl: 0.500 0.500 0.794

## Properties
* excess energy over the best structure of this formula in the dataset: 3.52 kcal/mol of atoms
* uncorrected formation energy: -0.649 eV/atom
* total magnetization: 0.000 μB per cell
* theoretical density: 3.5 g cm⁻³

Material: Tb3Pr6Sm2Tl
Method: DFT, PBE
State: relaxed

Lattice parameters (Å, degrees): 6.280 6.280 11.969 95.06 95.06 120.16
Fractional coordinates of all 12 atoms:
Tb: 0.000 0.000 0.000
Tb: 0.332 0.668 0.000
Tb: 0.668 0.332 0.000
Pr: 0.090 0.417 0.250
Pr: 0.257 0.257 0.751
Pr: 0.417 0.090 0.250
Pr: 0.583 0.910 0.750
Pr: 0.743 0.743 0.249
Pr: 0.910 0.583 0.750
Sm: 0.166 0.834 0.500
Sm: 0.834 0.166 0.500
Tl: 0.500 0.500 0.500

## Properties
* total magnetization: 0.000 μB per cell
* theoretical density: 7.6 g cm⁻³
* energy of formation: -0.020 eV/atom

Material: Ca4Ho
Method: DFT, PBE
State: relaxed

Lattice parameters (Å, degrees): 6.173 6.173 6.173 90.00 90.00 90.00
Fractional coordinates of all 5 atoms:
Ca: 0.000 0.000 0.000
Ca: 0.000 0.500 0.500
Ca: 0.500 0.000 0.500
Ca: 0.500 0.500 0.000
Ho: 0.500 0.500 0.500

## Properties
* total magnetization: 2.242 μB per cell
* theoretical density: 2.3 g cm⁻³
* energy of formation: 0.674 eV/atom

Material: SmSi4Tc4
Method: DFT, PBE
State: relaxed

Lattice parameters (Å, degrees): 8.092 8.092 4.685 90.00 90.00 90.00
Fractional coordinates of all 18 atoms:
Sm: 0.250 0.250 0.250
Sm: 0.750 0.750 0.750
Si: 0.058 0.909 0.165
Si: 0.091 0.558 0.665
Si: 0.409 0.942 0.665
Si: 0.442 0.591 0.165
Si: 0.558 0.409 0.835
Si: 0.591 0.058 0.335
Si: 0.909 0.442 0.335
Si: 0.942 0.091 0.835
Tc: 0.124 0.873 0.659
Tc: 0.127 0.624 0.159
Tc: 0.373 0.876 0.159
Tc: 0.376 0.627 0.659
Tc: 0.624 0.373 0.341
Tc: 0.627 0.124 0.841
Tc: 0.873 0.376 0.841
Tc: 0.876 0.127 0.341

## Properties
* uncorrected formation energy: -0.507 eV/atom
* total magnetization: 0.000 μB per cell
* theoretical density: 7.1 g cm⁻³

Material: PrDy2Al6
Method: DFT, PBE
State: relaxed

Lattice parameters (Å, degrees): 7.957 7.957 3.562 90.00 90.00 120.00
Fractional coordinates of all 9 atoms:
Pr: 0.000 0.000 0.000
Dy: 0.333 0.667 0.000
Dy: 0.667 0.333 0.000
Al: 0.000 0.336 0.500
Al: 0.000 0.664 0.500
Al: 0.336 0.000 0.500
Al: 0.336 0.336 0.500
Al: 0.664 0.000 0.500
Al: 0.664 0.664 0.500

## Properties
* excess energy over the best structure of this formula in the dataset: 0.00 kcal/mol of atoms
* total magnetization: 0.000 μB per cell
* theoretical density: 5.3 g cm⁻³
* energy of formation: -0.474 eV/atom

Material: Zn53Co7
Method: DFT, PBE
State: relaxed

Lattice parameters (Å, degrees): 11.192 7.704 11.276 90.00 119.60 90.00
Fractional coordinates of all 60 atoms:
Zn: 0.000 0.033 0.000
Zn: 0.000 0.365 0.500
Zn: 0.009 0.062 0.625
Zn: 0.017 0.662 0.626
Zn: 0.067 0.531 0.885
Zn: 0.078 0.859 0.844
Zn: 0.119 0.370 0.339
Zn: 0.128 0.327 0.107
Zn: 0.131 0.732 0.110
Zn: 0.160 0.037 0.271
Zn: 0.182 0.371 0.753
Zn: 0.186 0.865 0.578
Zn: 0.221 0.710 0.384
Zn: 0.235 0.196 0.579
Zn: 0.260 0.038 0.066
Zn: 0.266 0.047 0.830
Zn: 0.285 0.683 0.813
Zn: 0.308 0.368 0.020
Zn: 0.341 0.528 0.271
Zn: 0.348 0.706 0.073
Zn: 0.387 0.200 0.312
Zn: 0.388 0.000 0.510
Zn: 0.391 0.396 0.520
Zn: 0.428 0.708 0.683
Zn: 0.432 0.394 0.777
Zn: 0.468 0.030 0.774
Zn: 0.500 0.207 0.000
Zn: 0.500 0.704 0.500
Zn: 0.500 0.868 0.000
Zn: 0.532 0.030 0.226
Zn: 0.568 0.394 0.223
Zn: 0.572 0.708 0.317
Zn: 0.609 0.396 0.480
Zn: 0.612 0.000 0.490
Zn: 0.613 0.200 0.688
Zn: 0.652 0.706 0.927
Zn: 0.659 0.528 0.729
Zn: 0.692 0.368 0.980
Zn: 0.715 0.683 0.187
Zn: 0.734 0.047 0.170
Zn: 0.740 0.038 0.934
Zn: 0.765 0.196 0.421
Zn: 0.779 0.710 0.616
Zn: 0.814 0.865 0.422
Zn: 0.818 0.371 0.247
Zn: 0.840 0.037 0.729
Zn: 0.869 0.732 0.890
Zn: 0.872 0.327 0.893
Zn: 0.881 0.370 0.661
Zn: 0.922 0.859 0.156
Zn: 0.933 0.531 0.115
Zn: 0.983 0.662 0.374
Zn: 0.991 0.062 0.375
Co: 0.075 0.200 0.859
Co: 0.214 0.534 0.574
Co: 0.361 0.867 0.283
Co: 0.500 0.537 0.000
Co: 0.639 0.867 0.717
Co: 0.786 0.534 0.426
Co: 0.925 0.200 0.141

## Properties
* total magnetization: 0.000 μB per cell
* theoretical density: 7.6 g cm⁻³
* energy of formation: -0.078 eV/atom